[1]
LaPr2HoTm5 | PBE-GGA | relaxed

Computed properties:
The value obtained for the mass density is 8.2 g/cm3. As for the volume: 32.3 Å³/atom. Its formation energy is 0.25 eV/atom.

Cell: 8.6015 8.6015 15.6953 Å, 90.00 90.00 90.00°
Closest atoms and distances in Å follow each position.
Space group I4/mcm (No. 140)
Inequivalent atoms, fractional coordinates:
La 0.0000 0.5000 0.2500 [4 per cell]  4 Tm 3.08
Pr 0.1191 0.3809 0.0000 [8 per cell]  1 Pr 2.90, 2 Tm 3.02
Ho 0.0000 0.0000 0.2500 [4 per cell]  10 Tm 3.53-3.92
Tm 0.0000 0.0000 0.0000 [4 per cell]  4 Pr 3.43, 8 Tm 3.78
Tm 0.2097 0.2903 0.3605 [16 per cell]  1 Pr 3.02, 1 La 3.08


[2]
La2PrHo2Tm2 | PBE-GGA | relaxed

Computed properties:
The value obtained for the mass density is 7.8 g/cm3. As for the volume: 33.2 Å³/atom. Its formation energy is 0.03 eV/atom.

Cell: 11.3886 5.0883 8.1069 Å, 90.00 98.22 90.00°
Closest atoms and distances in Å follow each position.
Space group C2/m (No. 12)
Inequivalent atoms, fractional coordinates:
La 0.1425 0.0000 0.4279 [4 per cell]  5 Ho 3.60-3.64, 3 La 3.60-3.61, 1 Pr 3.61, 3 Tm 3.64-3.65
Pr 0.0000 0.0000 0.0000 [2 per cell]  6 Tm 3.57-3.61, 4 Ho 3.58, 2 La 3.61
Ho 0.0710 0.5000 0.7188 [4 per cell]  4 Tm 3.56-3.62, 2 Pr 3.58, 5 La 3.60-3.64, 1 Ho 3.68
Tm 0.2163 0.5000 0.1383 [4 per cell]  2 Tm 3.55, 4 Ho 3.56-3.62, 3 Pr 3.57-3.61, 3 La 3.64-3.65


[3]
La6PrHoTm2 | PBE-GGA | relaxed

Computed properties:
The value obtained for the mass density is 6.9 g/cm3. As for the volume: 35.7 Å³/atom. Its formation energy is 0.19 eV/atom.

Cell: 11.3516 7.2541 8.9272 Å, 90.00 103.64 90.00°
Closest atoms and distances in Å follow each position.
Space group C2/m (No. 12)
Inequivalent atoms, fractional coordinates:
La 0.1394 0.0000 0.4406 [4 per cell]  5 La 3.57-3.74, 1 Pr 3.88
La 0.1772 0.2798 0.8002 [8 per cell]  1 La 3.19, 2 Tm 3.28-3.52, 1 Ho 3.35
Pr 0.0000 0.0000 0.0000 [2 per cell]  10 La 3.61-4.01, 4 Tm 3.96
Ho 0.0000 0.5000 0.5000 [2 per cell]  4 La 3.35, 2 Tm 3.39
Tm 0.0915 0.5000 0.1651 [4 per cell]  1 Tm 3.18, 4 La 3.28-3.52, 1 Ho 3.39


[4]
LaPrHoTm3 | PBE-GGA | relaxed

Computed properties:
The value obtained for the mass density is 8.0 g/cm3. As for the volume: 32.8 Å³/atom. Its formation energy is 0.10 eV/atom.

Cell: 5.8180 11.6098 11.6412 Å, 90.00 90.00 90.00°
Closest atoms and distances in Å follow each position.
Space group Cmcm (No. 63)
Inequivalent atoms, fractional coordinates:
La 0.0000 0.0031 0.2500 [4 per cell]  7 Tm 3.51-3.84, 3 Ho 3.58-3.72
Pr 0.0000 0.5000 0.0000 [4 per cell]  8 Tm 3.53-3.76, 2 Ho 3.56
Ho 0.0000 0.3240 0.2500 [4 per cell]  4 Tm 3.40-3.41, 2 Pr 3.56, 3 La 3.58-3.72
Tm 0.0000 0.1758 0.5030 [8 per cell]  3 Tm 3.37-3.38, 1 Ho 3.41, 2 La 3.55-3.56, 3 Pr 3.55-3.76
Tm 0.0000 0.3277 0.7500 [4 per cell]  2 Tm 3.37, 2 Ho 3.40, 2 La 3.51, 2 Pr 3.53


[5]
LaPr6Ho3Tm2 | PBE-GGA | relaxed

Computed properties:
The value obtained for the mass density is 7.4 g/cm3. As for the volume: 33.8 Å³/atom. Its formation energy is 0.02 eV/atom.

Cell: 6.3122 10.9350 11.9414 Å, 90.00 100.15 90.00°
Closest atoms and distances in Å follow each position.
Space group C2/m (No. 12)
Inequivalent atoms, fractional coordinates:
La 0.0000 0.0000 0.0000 [2 per cell]  6 Pr 3.64, 6 Tm 3.64-3.65
Pr 0.2487 0.3328 0.7481 [8 per cell]  3 Ho 3.59-3.60, 2 Tm 3.63, 1 La 3.64, 6 Pr 3.64-3.66
Pr 0.2501 0.0000 0.7481 [4 per cell]  3 Ho 3.59-3.60, 2 Tm 3.63, 1 La 3.64, 6 Pr 3.64-3.66
Ho 0.0000 0.1671 0.5000 [4 per cell]  6 Pr 3.59-3.60, 6 Ho 3.64-3.65
Ho 0.0000 0.5000 0.5000 [2 per cell]  6 Pr 3.59-3.60, 6 Ho 3.64-3.65
Tm 0.0000 0.3335 0.0000 [4 per cell]  6 Pr 3.63, 3 Tm 3.64-3.65, 3 La 3.64-3.65


[6]
La3Pr6HoTm2 | PBE-GGA | relaxed

Computed properties:
The value obtained for the mass density is 7.0 g/cm3. As for the volume: 34.9 Å³/atom. Its formation energy is 0.02 eV/atom.

Cell: 6.3670 11.0400 12.0975 Å, 90.00 100.11 90.00°
Closest atoms and distances in Å follow each position.
Space group C2/m (No. 12)
Inequivalent atoms, fractional coordinates:
La 0.0000 0.0000 0.0000 [2 per cell]  6 La 3.68, 6 Pr 3.73
La 0.0000 0.3334 0.0000 [4 per cell]  6 La 3.68, 6 Pr 3.73
Pr 0.2474 0.0000 0.7427 [4 per cell]  2 Tm 3.59, 1 Ho 3.59, 6 Pr 3.68, 3 La 3.73
Pr 0.2480 0.3331 0.7428 [8 per cell]  2 Tm 3.59, 1 Ho 3.59, 6 Pr 3.67-3.68, 3 La 3.73
Ho 0.0000 0.5000 0.5000 [2 per cell]  6 Pr 3.59, 6 Tm 3.68
Tm 0.0000 0.1667 0.5000 [4 per cell]  6 Pr 3.59, 3 Ho 3.68, 3 Tm 3.68


[7]
La2Pr2HoTm2 | PBE-GGA | relaxed

Computed properties:
The value obtained for the mass density is 7.4 g/cm3. As for the volume: 34.0 Å³/atom. Its formation energy is 0.03 eV/atom.

Cell: 11.5203 5.1591 8.0853 Å, 90.00 98.40 90.00°
Closest atoms and distances in Å follow each position.
Space group C2/m (No. 12)
Inequivalent atoms, fractional coordinates:
La 0.1439 0.0000 0.4273 [4 per cell]  1 Ho 3.61, 3 La 3.63-3.68, 3 Tm 3.65-3.66, 5 Pr 3.66-3.69
Pr 0.0712 0.5000 0.7224 [4 per cell]  4 Tm 3.52-3.65, 2 Ho 3.59, 5 La 3.66-3.69, 1 Pr 3.73
Ho 0.0000 0.0000 0.0000 [2 per cell]  4 Pr 3.59, 6 Tm 3.61-3.64, 2 La 3.61
Tm 0.2159 0.5000 0.1373 [4 per cell]  4 Pr 3.52-3.65, 2 Tm 3.57, 3 Ho 3.61-3.64, 3 La 3.65-3.66


[8]
LaPr2Ho4Tm | PBE-GGA | relaxed

Computed properties:
The value obtained for the mass density is 7.7 g/cm3. As for the volume: 33.7 Å³/atom. Its formation energy is 0.40 eV/atom.

Cell: 13.7072 13.2882 6.8163 Å, 90.00 119.81 90.00°
Closest atoms and distances in Å follow each position.
Space group C2/c (No. 15)
Inequivalent atoms, fractional coordinates:
La 0.2500 0.2500 0.0000 [4 per cell]  6 Ho 3.32-3.43, 2 Pr 3.41
Pr 0.0000 0.0000 0.0000 [4 per cell]  2 Pr 3.41, 6 Ho 3.42-3.50
Pr 0.2500 0.2500 0.5000 [4 per cell]  6 Ho 3.33-3.43, 2 La 3.41
Ho 0.0000 0.2571 0.0011 [8 per cell]  1 Tm 3.23, 2 Ho 3.39-3.42, 3 Pr 3.42-3.43, 2 La 3.43
Ho 0.2437 0.5004 0.4924 [8 per cell]  1 La 3.32, 3 Pr 3.33-3.50, 2 Tm 3.36-3.37, 2 Ho 3.41
Tm 0.0000 0.5000 0.0000 [4 per cell]  6 Ho 3.23-3.37, 2 Tm 3.41


[9]
La2Pr5HoTm | PBE-GGA | relaxed

Computed properties:
The value obtained for the mass density is 6.8 g/cm3. As for the volume: 35.5 Å³/atom. Its formation energy is 0.24 eV/atom.

Cell: 8.5918 8.5918 17.3149 Å, 90.00 90.00 90.00°
Closest atoms and distances in Å follow each position.
Space group I4/mcm (No. 140)
Inequivalent atoms, fractional coordinates:
La 0.1243 0.3757 0.0000 [8 per cell]  1 La 3.02, 2 Pr 3.12
Pr 0.0000 0.0000 0.0000 [4 per cell]  4 La 3.40
Pr 0.2247 0.2753 0.3543 [16 per cell]  1 La 3.12, 1 Tm 3.27
Ho 0.0000 0.0000 0.2500 [4 per cell]  8 Pr 3.55
Tm 0.0000 0.5000 0.2500 [4 per cell]  4 Pr 3.27


[10]
LaPr3HoTm | PBE-GGA | relaxed

Computed properties:
The value obtained for the mass density is 7.2 g/cm3. As for the volume: 34.6 Å³/atom. Its formation energy is 0.03 eV/atom.

Cell: 8.1207 5.1979 10.3727 Å, 90.00 108.67 90.00°
Closest atoms and distances in Å follow each position.
Space group P2_1/m (No. 11)
Inequivalent atoms, fractional coordinates:
La 0.1723 0.2500 0.2923 [2 per cell]  3 Ho 3.62-3.63, 1 Tm 3.63, 8 Pr 3.68-3.71
Pr 0.1714 0.2500 0.7930 [2 per cell]  1 Ho 3.61, 3 Tm 3.62, 6 Pr 3.66-3.71, 2 La 3.71
Pr 0.1724 0.7500 0.0419 [2 per cell]  3 Tm 3.59-3.63, 1 Ho 3.61, 5 Pr 3.66-3.71, 3 La 3.68-3.69
Pr 0.1718 0.7500 0.5438 [2 per cell]  1 Tm 3.61, 3 Ho 3.62-3.64, 5 Pr 3.67-3.71, 3 La 3.68-3.71
Ho 0.4998 0.2500 0.6263 [2 per cell]  5 Pr 3.61-3.64, 3 La 3.62-3.63, 2 Tm 3.67, 2 Ho 3.69
Tm 0.4985 0.7500 0.8758 [2 per cell]  7 Pr 3.59-3.63, 1 La 3.63, 2 Tm 3.65, 2 Ho 3.67


[11]
La6Pr2HoTm | PBE-GGA | relaxed

Computed properties:
The value obtained for the mass density is 6.8 g/cm3. As for the volume: 35.4 Å³/atom. Its formation energy is 0.11 eV/atom.

Cell: 9.9012 15.3820 9.3094 Å, 90.00 90.53 90.00°
Closest atoms and distances in Å follow each position.
Space group C2/c (No. 15)
Inequivalent atoms, fractional coordinates:
La 0.0735 0.1468 0.0942 [8 per cell]  4 La 3.26-3.59, 1 Ho 3.49, 1 Pr 3.59
La 0.0744 0.3516 0.9084 [8 per cell]  4 La 3.29-3.59, 1 Tm 3.51, 1 Pr 3.59
La 0.2488 0.2819 0.3190 [8 per cell]  3 La 3.41-3.51, 1 Ho 3.45, 1 Tm 3.45, 2 Pr 3.50-3.82
Pr 0.2491 0.4558 0.5620 [8 per cell]  2 Tm 3.48-3.81, 2 Ho 3.49-3.86, 6 La 3.50-3.82
Ho 0.0000 0.0693 0.7500 [4 per cell]  6 La 3.45-3.70, 4 Pr 3.49-3.86
Tm 0.0000 0.4337 0.2500 [4 per cell]  6 La 3.45-3.69, 4 Pr 3.48-3.81


[12]
La2PrHoTm | PBE-GGA | relaxed

Computed properties:
The value obtained for the mass density is 7.0 g/cm3. As for the volume: 35.6 Å³/atom. Its formation energy is 0.35 eV/atom.

Cell: 6.5426 16.6436 6.5395 Å, 90.00 90.00 90.00°
Closest atoms and distances in Å follow each position.
Space group Cmcm (No. 63)
Inequivalent atoms, fractional coordinates:
La 0.2487 0.0000 0.0000 [8 per cell]  4 La 3.25-3.29, 2 Tm 3.47, 2 Pr 3.53
Pr 0.0000 0.3402 0.2500 [4 per cell]  1 Tm 3.07
Ho 0.0000 0.2463 0.7500 [4 per cell]  4 Pr 3.57-3.62, 4 Tm 3.60-3.65
Tm 0.0000 0.1558 0.2500 [4 per cell]  1 Pr 3.07